! PBE YCuBr, relaxed; values from VASP
! Total energy   -4.334 eV/atom
! Space group   F-43m (216)
! Total magnetic moment   0.5 μB/cell
&SYSTEM
  ibrav = 0, nat = 3, ntyp = 3
/
ATOMIC_SPECIES
Cu 63.55 Cu.upf
Y 88.91 Y.upf
Br 79.90 Br.upf
CELL_PARAMETERS angstrom
4.821 0.000 0.000
2.410 4.175 0.000
2.410 1.392 3.936
ATOMIC_POSITIONS crystal
Cu 0.500 0.500 0.500
Y 0.750 0.750 0.750
Br 0.000 0.000 0.000